[1]
Computed, not measured: a relaxed SmTe2PbAuS crystal at the PBE level of DFT.

Cell lengths 4.3226, 14.7550, 10.5205 Å; angles 90.00, 90.00, 90.00 degrees
Space group Cmcm (No. 63)
Unique sites:
Sm  0.0000  0.0000  0.0000 x4
Te  0.0000  0.3475  0.0593 x8
Pb  0.0000  0.2687  0.7500 x4
Au  0.0000  0.4787  0.2500 x4
S  0.0000  0.0776  0.2500 x4

Values from the calculation:
The crystal system is orthorhombic.


[2]
Computed, not measured: a relaxed LuCuSbPd crystal at the PBE level of DFT.

Cell lengths 6.7683, 6.7683, 6.7683 Å; angles 90.00, 90.00, 90.00 degrees
Space group F-43m (No. 216)
Unique sites:
Lu  0.0000  0.0000  0.0000 x4
Cu  0.0000  0.0000  0.5000 x4
Sb  0.2500  0.2500  0.2500 x4
Pd  0.2500  0.2500  0.7500 x4

Values from the calculation:
Its relative energy among the computed polymorphs is 0.146 eV/atom. The crystal system is cubic.


[3]
Computed, not measured: a relaxed SnHgP14 crystal at the PBE level of DFT.

Cell lengths 13.2141, 9.8711, 10.9578 Å; angles 90.00, 90.00, 90.00 degrees
Space group Pnma (No. 62)
Unique sites:
Sn  0.1685  0.2500  0.1012 x4
Hg  0.1859  0.7500  0.0042 x4
P  0.0278  0.0759  0.8469 x8
P  0.0292  0.7500  0.8374 x4
P  0.0531  0.2500  0.7218 x4
P  0.0644  0.5828  0.7097 x8
P  0.0746  0.0788  0.4162 x8
P  0.0845  0.7500  0.3984 x4
P  0.1366  0.5443  0.1395 x8
P  0.1679  0.2500  0.3493 x4
P  0.1761  0.5762  0.3322 x8

Values from the calculation:
The crystal system is orthorhombic.


[4]
Computed, not measured: a relaxed RbReAsO crystal at the PBE level of DFT.

Cell lengths 3.8041, 6.1442, 7.9894 Å; angles 90.00, 90.00, 90.00 degrees
Space group Pmc2_1 (No. 26)
Unique sites:
Rb  0.0000  0.1631  0.0000 x2
Re  0.5000  0.3304  0.3692 x2
As  0.5000  0.3811  0.6697 x2
O  0.0000  0.2985  0.3641 x2

Values from the calculation:
Its relative energy among the computed polymorphs is 0.046 eV/atom. The crystal system is orthorhombic.


[5]
Computed, not measured: a relaxed Zr2Ga2Ir crystal at the PBE level of DFT.

Cell lengths 6.6253, 6.6253, 4.0399 Å; angles 90.00, 90.00, 90.00 degrees
Space group P4/mbm (No. 127)
Unique sites:
Zr  0.1728  0.3272  0.0000 x4
Ga  0.1333  0.6333  0.5000 x4
Ir  0.0000  0.0000  0.5000 x2

Values from the calculation:
Its relative energy among the computed polymorphs is 0.000 eV/atom. The crystal system is tetragonal.


[6]
Computed, not measured: a relaxed PuZrOs crystal at the PBE level of DFT.

Cell lengths 6.5696, 6.5696, 6.5696 Å; angles 90.00, 90.00, 90.00 degrees
Space group F-43m (No. 216)
Unique sites:
Pu  0.0000  0.0000  0.0000 x4
Zr  0.0000  0.0000  0.5000 x4
Os  0.2500  0.2500  0.2500 x4

Values from the calculation:
Its relative energy among the computed polymorphs is 0.000 eV/atom. The crystal system is cubic. The formation energy comes out at -0.076 eV/atom.


[7]
Computed, not measured: a relaxed LiNbN2 crystal at the PBE level of DFT.

Cell lengths 4.7845, 4.7845, 9.1476 Å; angles 90.00, 90.00, 90.00 degrees
Space group I-42d (No. 122)
Unique sites:
Li  0.0000  0.0000  0.0000 x4
Nb  0.0000  0.0000  0.5000 x4
N  0.2189  0.7500  0.6250 x8

Values from the calculation:
Its relative energy among the computed polymorphs is 0.022 eV/atom. The crystal system is tetragonal.


[8]
Computed, not measured: a relaxed PmZn2 crystal at the PBE level of DFT.

Cell lengths 10.7977, 5.0285, 4.4965 Å; angles 90.00, 90.00, 90.00 degrees
Space group Cmcm (No. 63)
Unique sites:
Pm  0.0000  0.2294  0.2500 x4
Zn  0.1984  0.3433  0.7500 x8

Values from the calculation:
Its relative energy among the computed polymorphs is 0.162 eV/atom. The crystal system is orthorhombic. The formation energy comes out at -0.213 eV/atom.


no.,DFT total energy (eV/atom)
1,-4.477
2,-4.805
3,-5.010
4,-6.174
5,-7.119
6,-11.376
7,-7.992
8,-2.638